A plane-wave DFT calculation with PBEsol was carried out for a relaxed structure of Si2B2Os.

Output
Calculated total energy in eV per cell: -67.3
Raw formation energy in eV/atom: 0.82
Crystal system: tetragonal
SG: No. 127

Cell: 2.9187 6.1051 6.1051 Å, 90.00 90.00 90.00°
Fractional coordinates of all 10 atoms:
Si: 0.0000 0.3699 0.8699
Si: 0.0000 0.8699 0.6301
Si: 0.0000 0.6301 0.1301
Si: 0.0000 0.1301 0.3699
B: 0.5000 0.1908 0.6908
B: 0.5000 0.6908 0.8092
B: 0.5000 0.8092 0.3092
B: 0.5000 0.3092 0.1908
Os: 0.0000 0.0000 0.0000
Os: 0.0000 0.5000 0.5000

A plane-wave DFT calculation with PBEsol was carried out for a relaxed structure of SmB2Os2.

Output
Energy relative to the elements in eV/atom: -0.44
Calculated total energy in eV per cell: -91.5
Crystal system: orthorhombic
SG: No. 70

Cell: 5.5787 5.5787 5.9397 Å, 109.32 109.32 107.18°
Fractional coordinates of all 10 atoms:
Sm: 0.0000 0.0000 0.0000
Sm: 0.2500 0.7500 0.5000
B: 0.6885 0.3115 0.0000
B: 0.3115 0.6885 0.0000
B: 0.9385 0.0615 0.5000
B: 0.5615 0.4385 0.5000
Os: 0.6126 0.1126 0.2253
Os: 0.6374 0.6374 0.2747
Os: 0.3626 0.3626 0.7253
Os: 0.8874 0.3874 0.7747

A plane-wave DFT calculation with PBEsol was carried out for a relaxed structure of Sn3BOs.

Output
Energy relative to the elements in eV/atom: 1.20
Calculated total energy in eV per cell: -26.0
Crystal system: cubic
SG: No. 221

Cell: 4.5700 4.5700 4.5700 Å, 90.00 90.00 90.00°
Fractional coordinates of all 5 atoms:
B: 0.0000 0.0000 0.0000
Os: 0.5000 0.5000 0.5000
Sn: 0.0000 0.5000 0.0000
Sn: 0.0000 0.0000 0.5000
Sn: 0.5000 0.0000 0.0000

A plane-wave DFT calculation with PBEsol was carried out for a relaxed structure of SnB2Os.

Output
Energy relative to the elements in eV/atom: 0.66
Calculated total energy in eV per cell: -55.7
Crystal system: tetragonal
SG: No. 122

Cell: 5.0826 5.0826 6.0453 Å, 114.86 114.86 90.00°
Fractional coordinates of all 8 atoms:
B: 0.3152 0.8750 0.2500
B: 0.9348 0.3750 0.2500
B: 0.1250 0.0652 0.7500
B: 0.6250 0.6848 0.7500
Os: 0.2500 0.7500 0.5000
Os: 0.0000 0.0000 0.0000
Sn: 0.7500 0.2500 0.5000
Sn: 0.5000 0.5000 0.0000

A plane-wave DFT calculation with PBEsol was carried out for a relaxed structure of TbB2Os.

Output
Energy relative to the elements in eV/atom: -0.61
Calculated total energy in eV per cell: -134.8
Crystal system: orthorhombic
SG: No. 62

Cell: 5.2923 5.8592 6.3400 Å, 90.00 90.00 90.00°
Fractional coordinates of all 16 atoms:
Tb: 0.7500 0.9912 0.3362
Tb: 0.7500 0.4912 0.1638
Tb: 0.2500 0.0088 0.6638
Tb: 0.2500 0.5088 0.8362
B: 0.9187 0.6370 0.5405
B: 0.5813 0.1370 0.9595
B: 0.4187 0.3630 0.4595
B: 0.0813 0.8630 0.0405
B: 0.0813 0.3630 0.4595
B: 0.4187 0.8630 0.0405
B: 0.5813 0.6370 0.5405
B: 0.9187 0.1370 0.9595
Os: 0.7500 0.8230 0.8193
Os: 0.7500 0.3230 0.6807
Os: 0.2500 0.1770 0.1807
Os: 0.2500 0.6770 0.3193

A plane-wave DFT calculation with PBEsol was carried out for a relaxed structure of BTeOs3.

Output
Calculated total energy in eV per cell: -29.5
Raw formation energy in eV/atom: 3.54
Crystal system: cubic
SG: No. 221
Energy above the lowest structure with this stoichiometry in eV per atom: 2.859

Cell: 4.7785 4.7785 4.7785 Å, 90.00 90.00 90.00°
Fractional coordinates of all 5 atoms:
B: 0.5000 0.5000 0.5000
Te: 0.0000 0.0000 0.0000
Os: 0.0000 0.5000 0.0000
Os: 0.0000 0.0000 0.5000
Os: 0.5000 0.0000 0.0000